(1)
VASP calculation (PBE-GGA) on a relaxed structure of Sc2IrCCl.

Output
Crystal system: tetragonal
Energy relative to the elements, uncorrected (eV per atom): -0.21

a b c (Å): 5.181 3.842 5.181
angles (deg): 90.00 90.00 90.00
Site moments in Bohr magnetons follow the coordinates.
Sites, in units of the cell vectors:
Sc 0.000 0.000 0.500  0.32
Sc 0.500 0.000 0.000  0.36
C 0.000 0.500 0.000  -0.02
Ir 0.000 0.000 0.000  -0.01
Cl 0.500 0.500 0.500  -0.01



(2)
VASP calculation (PBE-GGA) on a relaxed structure of SiIr2CCl.

Output
Crystal system: tetragonal
Energy relative to the elements, uncorrected (eV per atom): 0.88

a b c (Å): 3.917 5.732 3.917
angles (deg): 90.00 90.00 90.00
Sites, in units of the cell vectors:
Si 0.000 0.500 0.000
Ir 0.000 0.000 0.500
Ir 0.500 0.000 0.000
C 0.000 0.000 0.000
Cl 0.500 0.500 0.500



(3)
VASP calculation (PBE-GGA) on a relaxed structure of Sm8Ir3CCl4.

Output
Crystal system: trigonal
Energy relative to the elements, uncorrected (eV per atom): -1.10

a b c (Å): 8.061 8.711 8.061
angles (deg): 117.53 120.00 90.00
Sites, in units of the cell vectors:
Sm 0.222 0.693 0.970
Sm 0.222 0.693 0.445
Sm 0.264 0.291 0.527
Sm 0.748 0.693 0.970
Sm 0.252 0.307 0.030
Sm 0.736 0.709 0.473
Sm 0.778 0.307 0.555
Sm 0.778 0.307 0.030
Ir 0.500 0.500 0.000
Ir 0.500 0.500 0.500
Ir 0.000 0.500 0.500
C 0.000 0.500 0.000
Cl 0.500 0.000 0.000
Cl 0.500 0.000 0.500
Cl 0.000 0.000 0.000
Cl 0.000 0.000 0.500



(4)
VASP calculation (PBE-GGA) on a relaxed structure of SrIrCCl2.

Output
Crystal system: tetragonal
Energy relative to the elements, uncorrected (eV per atom): 1.61

a b c (Å): 5.632 6.398 5.632
angles (deg): 90.00 90.00 90.00
Site moments in Bohr magnetons follow the coordinates.
Sites, in units of the cell vectors:
Sr 0.000 0.000 0.000  -0.01
C 0.500 0.500 0.500  0.93
Ir 0.000 0.500 0.000  2.32
Cl 0.000 0.000 0.500  0.04
Cl 0.500 0.000 0.000  0.04



(5)
VASP calculation (PBE-GGA) on a relaxed structure of SrIrCCl2.

Output
Crystal system: tetragonal
Energy relative to the elements, uncorrected (eV per atom): -0.30

a b c (Å): 5.137 3.898 5.137
angles (deg): 90.00 90.00 90.00
Sites, in units of the cell vectors:
Sr 0.500 0.500 0.500
C 0.000 0.500 0.000
Ir 0.000 0.000 0.000
Cl 0.000 0.000 0.500
Cl 0.500 0.000 0.000



(6)
VASP calculation (PBE-GGA) on a relaxed structure of Te2IrCCl.

Output
Crystal system: tetragonal
Energy relative to the elements, uncorrected (eV per atom): 0.66

a b c (Å): 5.544 3.762 5.544
angles (deg): 90.00 90.00 90.00
Sites, in units of the cell vectors:
C 0.000 0.500 0.000
Ir 0.000 0.000 0.000
Te 0.000 0.000 0.500
Te 0.500 0.000 0.000
Cl 0.500 0.500 0.500



(7)
VASP calculation (PBE-GGA) on a relaxed structure of K2CCl.

Output
Crystal system: cubic
Energy relative to the elements, uncorrected (eV per atom): 0.23

a b c (Å): 5.330 5.330 5.330
angles (deg): 60.00 60.00 60.00
Site moments in Bohr magnetons follow the coordinates.
Sites, in units of the cell vectors:
K 0.250 0.250 0.250  0.03
K 0.750 0.750 0.750  0.03
C 0.000 0.000 0.000  1.19
Cl 0.500 0.500 0.500  0.06



(8)
VASP calculation (PBE-GGA) on a relaxed structure of KCCl3.

Output
Crystal system: cubic
Energy relative to the elements, uncorrected (eV per atom): 0.05

a b c (Å): 4.676 4.676 4.676
angles (deg): 90.00 90.00 90.00
Sites, in units of the cell vectors:
K 0.500 0.500 0.500
C 0.000 0.000 0.000
Cl 0.000 0.500 0.000
Cl 0.000 0.000 0.500
Cl 0.500 0.000 0.000



(9)
VASP calculation (PBE-GGA) on a relaxed structure of K3CCl.

Output
Crystal system: cubic
Energy relative to the elements, uncorrected (eV per atom): 0.19

a b c (Å): 5.622 5.622 5.622
angles (deg): 90.00 90.00 90.00
Site moments in Bohr magnetons follow the coordinates.
Sites, in units of the cell vectors:
K 0.000 0.500 0.000  0.03
K 0.000 0.000 0.500  0.04
K 0.500 0.000 0.000  0.01
C 0.000 0.000 0.000  0.81
Cl 0.500 0.500 0.500  0.00



(10)
VASP calculation (PBE-GGA) on a relaxed structure of KCCl3.

Output
Crystal system: cubic
Energy relative to the elements, uncorrected (eV per atom): 1.37

a b c (Å): 5.802 5.802 5.802
angles (deg): 90.00 90.00 90.00
Sites, in units of the cell vectors:
K 0.000 0.000 0.000
C 0.500 0.500 0.500
Cl 0.000 0.500 0.000
Cl 0.000 0.000 0.500
Cl 0.500 0.000 0.000



(11)
VASP calculation (PBE-GGA) on a relaxed structure of KC3Cl.

Output
Crystal system: cubic
Energy relative to the elements, uncorrected (eV per atom): 3.29

a b c (Å): 4.261 4.261 4.261
angles (deg): 90.00 90.00 90.00
Sites, in units of the cell vectors:
K 0.500 0.500 0.500
C 0.000 0.500 0.000
C 0.000 0.000 0.500
C 0.500 0.000 0.000
Cl 0.000 0.000 0.000



(12)
VASP calculation (PBE-GGA) on a relaxed structure of K2CCl.

Output
Crystal system: tetragonal
Energy relative to the elements, uncorrected (eV per atom): 0.25

a b c (Å): 7.796 7.796 7.274
angles (deg): 57.60 57.60 90.00
Site moments in Bohr magnetons follow the coordinates.
Sites, in units of the cell vectors:
K 0.611 0.125 0.250  0.03
K 0.139 0.625 0.250  0.03
K 0.375 0.389 0.750  0.03
K 0.875 0.861 0.750  0.03
C 0.500 0.500 0.000  1.21
C 0.250 0.750 0.500  1.21
Cl 0.000 0.000 0.000  0.02
Cl 0.750 0.250 0.500  0.02